No. 1
Material: Pr4MgBi2
Method: DFT, PBE
State: relaxed

Geometry as CIF:
```
data_Pr4MgBi2
_space_group_name_H-M_alt 'P 1'
_space_group_IT_number 1
_space_group_name_Hall 'P 1'
_cell_length_a 6.4370
_cell_length_b 6.8907
_cell_length_c 10.7062
_cell_angle_alpha 90.00
_cell_angle_beta 104.55
_cell_angle_gamma 90.00
loop_
_atom_site_label
_atom_site_type_symbol
_atom_site_fract_x
_atom_site_fract_y
_atom_site_fract_z
_atom_site_occupancy
Pr1 Pr 0.5262 0.5170 0.2583 1
Pr2 Pr 0.0769 0.7500 0.8601 1
Pr3 Pr 0.9231 0.2500 0.1399 1
Pr4 Pr 0.5262 0.9830 0.2583 1
Pr5 Pr 0.8468 0.2500 0.5242 1
Pr6 Pr 0.4738 0.0170 0.7417 1
Pr7 Pr 0.4738 0.4830 0.7417 1
Pr8 Pr 0.1532 0.7500 0.4758 1
Mg1 Mg 0.0508 0.7500 0.1787 1
Mg2 Mg 0.9492 0.2500 0.8213 1
Bi1 Bi 0.6390 0.7500 0.0033 1
Bi2 Bi 0.3610 0.2500 0.9967 1
Bi3 Bi 0.2905 0.2500 0.4439 1
Bi4 Bi 0.7095 0.7500 0.5561 1
```

Calculated values
Formation enthalpy at 0 K, eV/atom: -0.41
Total DFT energy (no corrections), eV/atom: -4.47
Space group: P2_1/m, No. 11
DOS at the Fermi energy, states/eV/f.u.: 8.49

No. 2
Material: Sr8CdRhAu2
Method: DFT, PBE
State: relaxed

Geometry as CIF:
```
data_Sr8CdRhAu2
_space_group_name_H-M_alt 'P 1'
_space_group_IT_number 1
_space_group_name_Hall 'P 1'
_cell_length_a 7.5190
_cell_length_b 7.2827
_cell_length_c 9.2473
_cell_angle_alpha 90.00
_cell_angle_beta 90.00
_cell_angle_gamma 89.21
loop_
_atom_site_label
_atom_site_type_symbol
_atom_site_fract_x
_atom_site_fract_y
_atom_site_fract_z
_atom_site_occupancy
Sr1 Sr 0.1653 0.7637 0.2239 1
Sr2 Sr 0.6814 0.7543 0.0000 1
Sr3 Sr 0.8347 0.2363 0.2239 1
Sr4 Sr 0.8347 0.2363 0.7761 1
Sr5 Sr 0.3186 0.2457 0.0000 1
Sr6 Sr 0.1653 0.7637 0.7761 1
Sr7 Sr 0.6503 0.7297 0.5000 1
Sr8 Sr 0.3497 0.2703 0.5000 1
Cd1 Cd 0.0000 0.0000 0.5000 1
Rh1 Rh 0.0000 0.0000 0.0000 1
Au1 Au 0.5000 0.5000 0.7593 1
Au2 Au 0.5000 0.5000 0.2407 1
```

Calculated values
Formation enthalpy at 0 K, eV/atom: -0.37
Total DFT energy (no corrections), eV/atom: -2.72
Space group: P2/m, No. 10
DOS at the Fermi energy, states/eV/f.u.: 8.29